Entry 1:
VASP calculation (PBE) on a geometry-optimized TiMn2BiAs structure.

Its density is 7.1 g/cm3. The calculation puts the energy relative to the elements at 259 meV/atom. The calculation puts the volume at 103.6 Å³/f.u. The value obtained for the calculated total energy is -6.693 eV/atom.

The space group is P4/mmm (No. 123) and the conventional cell measures 4.615, 4.615 and 4.866 Å, with angles of 90.00, 90.00 and 90.00 degrees. Symmetry generates all atoms from Ti at (0.000, 0.000, 0.000), Mn at (0.000, 0.500, 0.500), Bi at (0.500, 0.500, 0.000) and As at (0.000, 0.000, 0.500).

Entry 2:
VASP calculation (PBE) on a geometry-optimized BiMo2As structure.

Its density is 9.3 g/cm3. The calculation puts the energy relative to the elements at 630 meV/atom. The calculation puts the volume at 84.6 Å³/f.u. The value obtained for the calculated total energy is -6.918 eV/atom.

The space group is I-42d (No. 122) and the conventional cell measures 4.298, 4.298 and 18.325 Å, with angles of 90.00, 90.00 and 90.00 degrees. Symmetry generates all atoms from Bi at (0.000, 0.000, 0.000), Mo at (0.161, 0.250, 0.625) and As at (0.000, 0.000, 0.500).

Entry 3:
VASP calculation (PBE) on a geometry-optimized Bi3MoAs structure.

Its density is 8.0 g/cm3. The calculation puts the energy relative to the elements at 1236 meV/atom. The calculation puts the volume at 165.8 Å³/f.u. The value obtained for the calculated total energy is -4.189 eV/atom.

The space group is Pm-3m (No. 221) and the conventional cell measures 5.494, 5.494 and 5.494 Å, with angles of 90.00, 90.00 and 90.00 degrees. Symmetry generates all atoms from Bi at (0.000, 0.000, 0.500), Mo at (0.500, 0.500, 0.500) and As at (0.000, 0.000, 0.000).

Entry 4:
VASP calculation (PBE) on a geometry-optimized Bi3MoAs structure.

Its density is 8.7 g/cm3. The calculation puts the energy relative to the elements at 712 meV/atom. The calculation puts the volume at 151.7 Å³/f.u. The value obtained for the calculated total energy is -4.713 eV/atom.

The space group is Pm-3m (No. 221) and the conventional cell measures 5.333, 5.333 and 5.333 Å, with angles of 90.00, 90.00 and 90.00 degrees. Symmetry generates all atoms from Bi at (0.000, 0.000, 0.500), Mo at (0.000, 0.000, 0.000) and As at (0.500, 0.500, 0.500).